(1)
Entry from OQMD via LeMat-Bulk: an optimized crystal structure of Lu4TlAuC2 (GGA-PBE).

Summary:
Symmetry: P-6m2, No. 187
VASP energy (eV per atom): -5.789
Total magnetic moment (μB per formula unit): 0.02

Unit cell a=3.561 b=3.561 c=14.732 alpha=90.00 beta=90.00 gamma=120.00
Sites, in units of the cell vectors:
Lu: 0.000 0.000 0.148
Lu: 0.000 0.000 0.852
Lu: 0.667 0.333 0.323
Lu: 0.667 0.333 0.677
Tl: 0.000 0.000 0.500
Au: 0.667 0.333 0.000
C: 0.333 0.667 0.234
C: 0.333 0.667 0.766

(2)
Entry from OQMD via LeMat-Bulk: an optimized crystal structure of Y4Lu2Au3C3 (GGA-PBE).

Summary:
Symmetry: C2/c, No. 15
VASP energy (eV per atom): -6.579
Total magnetic moment (μB per formula unit): 0.04

Unit cell a=6.331 b=6.331 c=14.445 alpha=102.66 beta=102.66 gamma=60.08
Sites, in units of the cell vectors:
Y: 0.036 0.197 0.098
Y: 0.132 0.300 0.402
Y: 0.197 0.036 0.598
Y: 0.300 0.132 0.902
Y: 0.700 0.868 0.098
Y: 0.803 0.964 0.402
Y: 0.868 0.700 0.598
Y: 0.964 0.803 0.902
Lu: 0.360 0.529 0.087
Lu: 0.471 0.640 0.413
Lu: 0.529 0.360 0.587
Lu: 0.640 0.471 0.913
Au: 0.120 0.880 0.250
Au: 0.284 0.421 0.751
Au: 0.421 0.284 0.251
Au: 0.579 0.716 0.749
Au: 0.716 0.579 0.249
Au: 0.880 0.120 0.750
C: 0.000 0.500 0.000
C: 0.170 0.665 0.500
C: 0.335 0.830 0.000
C: 0.500 0.000 0.500
C: 0.665 0.170 0.000
C: 0.830 0.335 0.500

(3)
Entry from OQMD via LeMat-Bulk: an optimized crystal structure of Lu4Zr2Au3C3 (GGA-PBE).

Summary:
Symmetry: C2/c, No. 15
VASP energy (eV per atom): -6.668
Total magnetic moment (μB per formula unit): 0.01

Unit cell a=6.045 b=6.045 c=14.450 alpha=101.90 beta=101.90 gamma=60.03
Sites, in units of the cell vectors:
Lu: 0.040 0.191 0.099
Lu: 0.127 0.301 0.402
Lu: 0.191 0.040 0.599
Lu: 0.301 0.127 0.902
Lu: 0.699 0.873 0.098
Lu: 0.809 0.960 0.401
Lu: 0.873 0.699 0.598
Lu: 0.960 0.809 0.901
Zr: 0.352 0.528 0.084
Zr: 0.472 0.648 0.416
Zr: 0.528 0.352 0.584
Zr: 0.648 0.472 0.916
Au: 0.116 0.884 0.250
Au: 0.280 0.414 0.750
Au: 0.414 0.280 0.250
Au: 0.586 0.720 0.750
Au: 0.720 0.586 0.250
Au: 0.884 0.116 0.750
C: 0.000 0.500 0.000
C: 0.188 0.657 0.500
C: 0.343 0.812 0.000
C: 0.500 0.000 0.500
C: 0.657 0.188 0.000
C: 0.812 0.343 0.500

(4)
Entry from OQMD via LeMat-Bulk: an optimized crystal structure of Mg3AuC (GGA-PBE).

Summary:
Symmetry: Pm-3m, No. 221
VASP energy (eV per atom): -3.513

Unit cell a=4.359 b=4.359 c=4.359 alpha=90.00 beta=90.00 gamma=90.00
Sites, in units of the cell vectors:
Mg: 0.000 0.000 0.500
Mg: 0.000 0.500 0.000
Mg: 0.500 0.000 0.000
Au: 0.500 0.500 0.500
C: 0.000 0.000 0.000

(5)
Entry from OQMD via LeMat-Bulk: an optimized crystal structure of Mo8Au2C3N3 (GGA-PBE).

Summary:
Symmetry: P-3m1, No. 164
VASP energy (eV per atom): -9.048
Total magnetic moment (μB per formula unit): 0.01

Unit cell a=3.117 b=3.117 c=23.428 alpha=90.00 beta=90.00 gamma=120.00
Sites, in units of the cell vectors:
Mo: 0.000 0.000 0.151
Mo: 0.000 0.000 0.348
Mo: 0.000 0.000 0.652
Mo: 0.000 0.000 0.849
Mo: 0.333 0.667 0.556
Mo: 0.333 0.667 0.948
Mo: 0.667 0.333 0.052
Mo: 0.667 0.333 0.444
Au: 0.333 0.667 0.751
Au: 0.667 0.333 0.249
C: 0.000 0.000 0.500
C: 0.333 0.667 0.389
C: 0.667 0.333 0.611
N: 0.000 0.000 0.000
N: 0.333 0.667 0.107
N: 0.667 0.333 0.893

(6)
Entry from OQMD via LeMat-Bulk: an optimized crystal structure of Mo4Au2CN (GGA-PBE).

Summary:
Symmetry: P-3m1, No. 164
VASP energy (eV per atom): -8.391
Total magnetic moment (μB per formula unit): 0.00

Unit cell a=3.151 b=3.151 c=13.258 alpha=90.00 beta=90.00 gamma=120.00
Sites, in units of the cell vectors:
Mo: 0.333 0.667 0.082
Mo: 0.333 0.667 0.422
Mo: 0.667 0.333 0.578
Mo: 0.667 0.333 0.918
Au: 0.333 0.667 0.747
Au: 0.667 0.333 0.253
C: 0.000 0.000 0.000
N: 0.000 0.000 0.500

(7)
Entry from OQMD via LeMat-Bulk: an optimized crystal structure of Nb4Mo2Au3C3 (GGA-PBE).

Summary:
Symmetry: C2/c, No. 15
VASP energy (eV per atom): -8.564
Total magnetic moment (μB per formula unit): 0.00

Unit cell a=5.481 b=5.481 c=14.083 alpha=101.23 beta=101.23 gamma=60.00
Sites, in units of the cell vectors:
Nb: 0.029 0.195 0.088
Nb: 0.137 0.304 0.412
Nb: 0.195 0.029 0.588
Nb: 0.304 0.137 0.912
Nb: 0.696 0.863 0.088
Nb: 0.805 0.971 0.412
Nb: 0.863 0.696 0.588
Nb: 0.971 0.805 0.912
Mo: 0.358 0.526 0.077
Mo: 0.474 0.642 0.423
Mo: 0.526 0.358 0.577
Mo: 0.642 0.474 0.923
Au: 0.104 0.896 0.250
Au: 0.271 0.416 0.750
Au: 0.416 0.271 0.250
Au: 0.584 0.729 0.750
Au: 0.729 0.584 0.250
Au: 0.896 0.104 0.750
C: 0.000 0.500 0.000
C: 0.163 0.668 0.500
C: 0.332 0.837 0.000
C: 0.500 0.000 0.500
C: 0.668 0.163 0.000
C: 0.837 0.332 0.500

(8)
Entry from OQMD via LeMat-Bulk: an optimized crystal structure of Nb2Mo4Au3C3 (GGA-PBE).

Summary:
Symmetry: C2/c, No. 15
VASP energy (eV per atom): -8.554
Total magnetic moment (μB per formula unit): 0.00

Unit cell a=5.452 b=5.452 c=13.905 alpha=101.36 beta=101.36 gamma=60.08
Sites, in units of the cell vectors:
Nb: 0.031 0.864 0.592
Nb: 0.136 0.969 0.908
Nb: 0.864 0.031 0.092
Nb: 0.969 0.136 0.408
Mo: 0.193 0.359 0.079
Mo: 0.307 0.474 0.421
Mo: 0.359 0.193 0.579
Mo: 0.474 0.307 0.921
Mo: 0.526 0.693 0.079
Mo: 0.641 0.807 0.421
Mo: 0.693 0.526 0.579
Mo: 0.807 0.641 0.921
Au: 0.084 0.291 0.750
Au: 0.291 0.084 0.250
Au: 0.458 0.542 0.750
Au: 0.542 0.458 0.250
Au: 0.709 0.916 0.750
Au: 0.916 0.709 0.250
C: 0.000 0.500 0.500
C: 0.164 0.672 0.000
C: 0.328 0.836 0.500
C: 0.500 0.000 0.000
C: 0.672 0.164 0.500
C: 0.836 0.328 0.000

(9)
Entry from OQMD via LeMat-Bulk: an optimized crystal structure of NiMo4AuC2 (GGA-PBE).

Summary:
Symmetry: P-6m2, No. 187
VASP energy (eV per atom): -8.763
Total magnetic moment (μB per formula unit): 0.04

Unit cell a=3.073 b=3.073 c=13.092 alpha=90.00 beta=90.00 gamma=120.00
Sites, in units of the cell vectors:
Ni: 0.000 0.000 0.000
Mo: 0.000 0.000 0.323
Mo: 0.000 0.000 0.677
Mo: 0.667 0.333 0.150
Mo: 0.667 0.333 0.850
Au: 0.667 0.333 0.500
C: 0.333 0.667 0.238
C: 0.333 0.667 0.762

(10)
Entry from OQMD via LeMat-Bulk: an optimized crystal structure of Mo4AuC2S (GGA-PBE).

Summary:
Symmetry: P-6m2, No. 187
VASP energy (eV per atom): -8.685
Total magnetic moment (μB per formula unit): 0.01

Unit cell a=3.153 b=3.153 c=12.678 alpha=90.00 beta=90.00 gamma=120.00
Sites, in units of the cell vectors:
Mo: 0.000 0.000 0.146
Mo: 0.000 0.000 0.854
Mo: 0.333 0.667 0.319
Mo: 0.333 0.667 0.681
Au: 0.000 0.000 0.500
C: 0.667 0.333 0.238
C: 0.667 0.333 0.762
S: 0.333 0.667 0.000

(11)
Entry from OQMD via LeMat-Bulk: an optimized crystal structure of Sc2Mo4Au3C3 (GGA-PBE).

Summary:
Symmetry: C2/c, No. 15
VASP energy (eV per atom): -8.108
Total magnetic moment (μB per formula unit): 0.00

Unit cell a=5.507 b=5.507 c=13.933 alpha=101.41 beta=101.41 gamma=60.26
Sites, in units of the cell vectors:
Sc: 0.037 0.878 0.610
Sc: 0.122 0.963 0.890
Sc: 0.878 0.037 0.110
Sc: 0.963 0.122 0.390
Mo: 0.191 0.346 0.075
Mo: 0.296 0.487 0.426
Mo: 0.346 0.191 0.575
Mo: 0.487 0.296 0.926
Mo: 0.513 0.704 0.074
Mo: 0.654 0.809 0.425
Mo: 0.704 0.513 0.574
Mo: 0.809 0.654 0.925
Au: 0.085 0.337 0.751
Au: 0.337 0.085 0.251
Au: 0.492 0.508 0.250
Au: 0.508 0.492 0.750
Au: 0.663 0.915 0.749
Au: 0.915 0.663 0.249
C: 0.000 0.500 0.500
C: 0.166 0.668 0.000
C: 0.332 0.834 0.500
C: 0.500 0.000 0.000
C: 0.668 0.166 0.500
C: 0.834 0.332 0.000

(12)
Entry from OQMD via LeMat-Bulk: an optimized crystal structure of SnMo4AuC2 (GGA-PBE).

Summary:
Symmetry: P-6m2, No. 187
VASP energy (eV per atom): -8.582
Total magnetic moment (μB per formula unit): 0.02

Unit cell a=3.149 b=3.149 c=13.596 alpha=90.00 beta=90.00 gamma=120.00
Sites, in units of the cell vectors:
Sn: 0.000 0.000 0.000
Mo: 0.000 0.000 0.331
Mo: 0.000 0.000 0.669
Mo: 0.667 0.333 0.169
Mo: 0.667 0.333 0.831
Au: 0.667 0.333 0.500
C: 0.333 0.667 0.252
C: 0.333 0.667 0.748

(13)
Entry from OQMD via LeMat-Bulk: an optimized crystal structure of Ta2Mo4Au3C3 (GGA-PBE).

Summary:
Symmetry: C2/c, No. 15
VASP energy (eV per atom): -8.860
Total magnetic moment (μB per formula unit): 0.00

Unit cell a=5.436 b=5.436 c=13.901 alpha=101.32 beta=101.32 gamma=60.08
Sites, in units of the cell vectors:
Ta: 0.030 0.860 0.591
Ta: 0.140 0.970 0.909
Ta: 0.860 0.030 0.091
Ta: 0.970 0.140 0.409
Mo: 0.193 0.363 0.079
Mo: 0.310 0.469 0.421
Mo: 0.363 0.193 0.579
Mo: 0.469 0.310 0.921
Mo: 0.531 0.690 0.079
Mo: 0.637 0.807 0.421
Mo: 0.690 0.531 0.579
Mo: 0.807 0.637 0.921
Au: 0.083 0.281 0.749
Au: 0.281 0.083 0.249
Au: 0.450 0.550 0.750
Au: 0.550 0.450 0.250
Au: 0.719 0.917 0.751
Au: 0.917 0.719 0.251
C: 0.000 0.500 0.500
C: 0.161 0.678 0.000
C: 0.322 0.839 0.500
C: 0.500 0.000 0.000
C: 0.678 0.161 0.500
C: 0.839 0.322 0.000

(14)
Entry from OQMD via LeMat-Bulk: an optimized crystal structure of Ta4Mo2Au3C3 (GGA-PBE).

Summary:
Symmetry: C2/c, No. 15
VASP energy (eV per atom): -9.184
Total magnetic moment (μB per formula unit): 0.00

Unit cell a=5.454 b=5.454 c=14.048 alpha=101.16 beta=101.16 gamma=60.02
Sites, in units of the cell vectors:
Ta: 0.027 0.197 0.088
Ta: 0.139 0.305 0.412
Ta: 0.197 0.027 0.588
Ta: 0.305 0.139 0.912
Ta: 0.695 0.861 0.088
Ta: 0.803 0.973 0.412
Ta: 0.861 0.695 0.588
Ta: 0.973 0.803 0.912
Mo: 0.361 0.526 0.078
Mo: 0.474 0.639 0.422
Mo: 0.526 0.361 0.578
Mo: 0.639 0.474 0.922
Au: 0.099 0.901 0.250
Au: 0.267 0.415 0.749
Au: 0.415 0.267 0.249
Au: 0.585 0.733 0.751
Au: 0.733 0.585 0.251
Au: 0.901 0.099 0.750
C: 0.000 0.500 0.000
C: 0.158 0.671 0.500
C: 0.329 0.842 0.000
C: 0.500 0.000 0.500
C: 0.671 0.158 0.000
C: 0.842 0.329 0.500

(15)
Entry from OQMD via LeMat-Bulk: an optimized crystal structure of TlMo4AuC2 (GGA-PBE).

Summary:
Symmetry: P-6m2, No. 187
VASP energy (eV per atom): -8.310
Total magnetic moment (μB per formula unit): 0.01

Unit cell a=3.144 b=3.144 c=13.833 alpha=90.00 beta=90.00 gamma=120.00
Sites, in units of the cell vectors:
Tl: 0.000 0.000 0.000
Mo: 0.000 0.000 0.335
Mo: 0.000 0.000 0.665
Mo: 0.667 0.333 0.176
Mo: 0.667 0.333 0.824
Au: 0.667 0.333 0.500
C: 0.333 0.667 0.256
C: 0.333 0.667 0.744

(16)
Entry from OQMD via LeMat-Bulk: an optimized crystal structure of Y2Mo4Au3C3 (GGA-PBE).

Summary:
Symmetry: C2/c, No. 15
VASP energy (eV per atom): -8.140
Total magnetic moment (μB per formula unit): 0.00

Unit cell a=5.628 b=5.628 c=14.144 alpha=101.97 beta=101.97 gamma=60.27
Sites, in units of the cell vectors:
Y: 0.042 0.884 0.618
Y: 0.116 0.958 0.882
Y: 0.884 0.042 0.118
Y: 0.958 0.116 0.382
Mo: 0.192 0.344 0.071
Mo: 0.294 0.489 0.429
Mo: 0.344 0.192 0.571
Mo: 0.489 0.294 0.929
Mo: 0.511 0.706 0.071
Mo: 0.656 0.808 0.429
Mo: 0.706 0.511 0.571
Mo: 0.808 0.656 0.929
Au: 0.088 0.382 0.753
Au: 0.382 0.088 0.253
Au: 0.446 0.554 0.250
Au: 0.554 0.446 0.750
Au: 0.618 0.912 0.747
Au: 0.912 0.618 0.247
C: 0.000 0.500 0.500
C: 0.171 0.658 0.000
C: 0.342 0.829 0.500
C: 0.500 0.000 0.000
C: 0.658 0.171 0.500
C: 0.829 0.342 0.000

(17)
Entry from OQMD via LeMat-Bulk: an optimized crystal structure of Y4Mo2Au3C3 (GGA-PBE).

Summary:
Symmetry: C2/c, No. 15
VASP energy (eV per atom): -7.515
Total magnetic moment (μB per formula unit): 0.00

Unit cell a=5.988 b=5.988 c=14.461 alpha=102.09 beta=102.09 gamma=60.36
Sites, in units of the cell vectors:
Y: 0.052 0.187 0.106
Y: 0.118 0.296 0.395
Y: 0.187 0.052 0.606
Y: 0.296 0.118 0.895
Y: 0.704 0.882 0.105
Y: 0.813 0.948 0.394
Y: 0.882 0.704 0.605
Y: 0.948 0.813 0.894
Mo: 0.334 0.525 0.062
Mo: 0.475 0.666 0.438
Mo: 0.525 0.334 0.562
Mo: 0.666 0.475 0.938
Au: 0.157 0.843 0.250
Au: 0.308 0.422 0.753
Au: 0.422 0.308 0.253
Au: 0.578 0.692 0.747
Au: 0.692 0.578 0.247
Au: 0.843 0.157 0.750
C: 0.000 0.500 0.000
C: 0.207 0.647 0.501
C: 0.353 0.793 0.999
C: 0.500 0.000 0.500
C: 0.647 0.207 0.001
C: 0.793 0.353 0.499

Calculated volume per entry: 161.8, 485.5, 444.2, 82.8, 197.1, 114.0, 357.0, 348.8, 107.1, 109.1, 357.1, 116.8, 346.8, 352.8, 118.4, 377.7, 437.2 Å³/cell